Record 1
The following is a DFT calculation (PBE) of an optimized crystal structure of Tm2MoH.

```
Tm2MoH
1.0
3.117 0.000 0.000
1.559 2.700 0.000
1.559 0.900 8.513
Tm Mo H
2 1 1
Direct
0.892 0.892 0.325
0.108 0.108 0.675
0.000 0.000 0.000
0.500 0.500 0.500
```

Raw total energy   -5.318 eV per atom
Symmetry   No. 166
Volume   72 Å³/cell
ρ   10.1 g/cm³

---

Record 2
The following is a DFT calculation (PBE) of an optimized crystal structure of UMoH.

```
UMoH
1.0
-0.277 0.040 3.139
1.412 -7.052 6.043
6.739 1.991 1.729
U H Mo
4 4 4
Direct
0.743 0.436 0.221
0.356 0.264 0.712
0.257 0.564 0.779
0.644 0.736 0.288
0.431 0.290 0.397
0.312 0.616 0.465
0.688 0.384 0.535
0.569 0.710 0.603
0.622 0.063 0.341
0.970 0.143 0.035
0.378 0.937 0.659
0.030 0.857 0.965
```

ΔE to the lowest computed polymorph   0 meV/atom
Symmetry   No. 2
Volume   166 Å³/cell
ρ   13.4 g/cm³

---

Record 3
The following is a DFT calculation (PBE) of an optimized crystal structure of UMoH.

```
UMoH
1.0
-1.822 1.975 -0.399
-1.877 -1.860 -0.631
0.397 -0.350 5.702
H Mo U
1 1 1
Direct
0.368 0.368 0.735
0.951 0.951 0.902
0.681 0.681 0.363
```

ΔE to the lowest computed polymorph   322 meV/atom
Symmetry   No. 107
Volume   40 Å³/cell
ρ   14.0 g/cm³

---

Record 4
The following is a DFT calculation (PBE) of an optimized crystal structure of U3Mo5H12.

```
U3Mo5H12
1.0
-5.500 -5.286 -6.499
8.805 2.317 -4.186
1.561 -5.450 8.263
Mo H U
20 48 12
Direct
0.750 0.625 0.375
0.000 0.000 0.500
0.625 0.875 0.250
0.625 0.750 0.875
0.250 0.375 0.625
0.125 0.375 0.250
0.500 0.500 0.000
0.500 0.500 0.500
0.750 0.125 0.875
0.000 0.500 0.500
0.500 0.000 0.000
0.000 0.000 0.000
0.875 0.250 0.625
0.125 0.750 0.375
0.375 0.250 0.125
0.500 0.000 0.500
0.875 0.625 0.750
0.375 0.125 0.750
0.000 0.500 0.000
0.250 0.875 0.125
0.169 0.089 0.709
0.709 0.589 0.169
0.380 0.960 0.791
0.911 0.831 0.791
0.089 0.169 0.209
0.420 0.040 0.331
0.080 0.911 0.120
0.709 0.120 0.040
0.791 0.331 0.911
0.831 0.920 0.040
0.411 0.291 0.331
0.669 0.460 0.580
0.040 0.620 0.709
0.331 0.791 0.411
0.589 0.709 0.669
0.589 0.880 0.420
0.291 0.880 0.960
0.580 0.620 0.411
0.920 0.831 0.540
0.540 0.209 0.120
0.331 0.540 0.420
0.669 0.209 0.589
0.291 0.411 0.831
0.920 0.089 0.880
0.460 0.791 0.880
0.960 0.380 0.291
0.411 0.120 0.580
0.460 0.669 0.080
0.120 0.709 0.540
0.580 0.960 0.669
0.540 0.331 0.920
0.880 0.589 0.920
0.620 0.580 0.911
0.960 0.580 0.169
0.831 0.911 0.291
0.209 0.540 0.620
0.911 0.080 0.620
0.209 0.669 0.089
0.040 0.420 0.831
0.420 0.380 0.589
0.620 0.040 0.209
0.080 0.169 0.460
0.791 0.460 0.380
0.120 0.411 0.080
0.169 0.080 0.960
0.380 0.420 0.089
0.880 0.291 0.460
0.089 0.920 0.380
0.250 0.625 0.875
0.750 0.375 0.125
0.125 0.875 0.750
0.125 0.250 0.875
0.625 0.250 0.375
0.750 0.875 0.625
0.375 0.750 0.625
0.375 0.625 0.250
0.625 0.375 0.750
0.875 0.750 0.125
0.875 0.125 0.250
0.250 0.125 0.375
```

Raw total energy   -6.421 eV per atom
Symmetry   No. 230
Volume   775 Å³/cell
ρ   10.3 g/cm³